# TaSb2Ru (PBE, relaxed)
data_TaSb2Ru
_chemical_formula_sum 'Ta2 Sb4 Ru2'
_cell_length_a 3.086
_cell_length_b 4.183
_cell_length_c 12.737
_cell_angle_alpha 90.00
_cell_angle_beta 90.00
_cell_angle_gamma 90.00
_space_group_name_H-M_alt 'I m m 2'
_space_group_IT_number 44
loop_
_space_group_symop_operation_xyz
'x,y,z'
'-x,-y,z'
'-x,y,z'
'x,-y,z'
'x+1/2,y+1/2,z+1/2'
'-x+1/2,-y+1/2,z+1/2'
'-x+1/2,y+1/2,z+1/2'
'x+1/2,-y+1/2,z+1/2'
loop_
_atom_site_label
_atom_site_fract_x
_atom_site_fract_y
_atom_site_fract_z
_atom_site_occupancy
Ta1 0.000 0.000 0.000 1
Sb1 0.000 0.000 0.616 1
Sb2 0.000 0.500 0.850 1
Ru1 0.000 0.500 0.300 1
# energy relative to the elements, uncorrected	0.134	eV per atom
# ΔE to the lowest computed polymorph	212.2	meV per atom